# HfTlTe4Au3 | OQMD | GGA-PBE | relaxed
# **ΔE to the lowest computed polymorph**: 0.00 eV/f.u.
# **Size of the total moment**: 0.0 μB per formula unit
data_HfTlTe4Au3
_chemical_formula_sum 'Hf1 Tl1 Te4 Au3'
_space_group_name_H-M_alt 'P -4 3 m'
_space_group_IT_number 215
_space_group_name_Hall 'P -4 2 3'
_cell_length_a 6.731
_cell_length_b 6.731
_cell_length_c 6.731
_cell_angle_alpha 90.00
_cell_angle_beta 90.00
_cell_angle_gamma 90.00
loop_
_atom_site_label
_atom_site_type_symbol
_atom_site_fract_x
_atom_site_fract_y
_atom_site_fract_z
Hf1 Hf 0.000 0.000 0.000
Tl1 Tl 0.500 0.500 0.500
Te1 Te 0.233 0.233 0.767
Au1 Au 0.000 0.000 0.500